# 1
DFT (PBE) results for a relaxed structure of BaZr4P.

abc: 6.005 6.005 6.005
angles: 60.00 60.00 60.00
Sites, in units of the cell vectors:
Ba1 0.000 0.000 0.000
Zr1 0.373 0.373 0.373
Zr2 0.373 0.373 0.880
Zr3 0.373 0.880 0.373
Zr4 0.880 0.373 0.373
P1 0.750 0.750 0.750

E_form, eV/f.u.: 3.718
Final energy, eV/cell: -37.81
Space group: No. 216
Total magnetic moment, μB/atom: 0.000

---

# 2
DFT (PBE) results for a relaxed structure of BaZr2P.

abc: 5.177 5.177 5.177
angles: 60.00 60.00 60.00
Sites, in units of the cell vectors:
Ba1 0.000 0.000 0.000
Zr1 0.500 0.500 0.500
Zr2 0.750 0.750 0.750
P1 0.250 0.250 0.250

E_form, eV/f.u.: 1.558
Final energy, eV/cell: -22.87
Space group: No. 216
Total magnetic moment, μB/atom: 0.000

---

# 3
DFT (PBE) results for a relaxed structure of BaZr2P.

abc: 5.774 5.774 6.428
angles: 118.20 118.20 35.80
Sites, in units of the cell vectors:
Ba1 0.000 0.000 0.000
Zr1 0.630 0.630 0.614
Zr2 0.843 0.843 0.324
P1 0.270 0.270 0.528

E_form, eV/f.u.: -1.056
Final energy, eV/cell: -25.49
Space group: No. 8
Total magnetic moment, μB/atom: 0.000

---

# 4
DFT (PBE) results for a relaxed structure of BaZr2P.

abc: 5.627 5.627 5.627
angles: 132.91 132.91 68.80
Sites, in units of the cell vectors:
Ba1 0.000 0.000 0.000
Zr1 0.250 0.750 0.500
Zr2 0.750 0.250 0.500
P1 0.500 0.500 0.000

E_form, eV/f.u.: 0.927
Final energy, eV/cell: -23.50
Space group: No. 139
Total magnetic moment, μB/atom: 0.000

---

# 5
DFT (PBE) results for a relaxed structure of BaZr2P.

abc: 3.354 3.354 9.613
angles: 90.00 90.00 105.88
Sites, in units of the cell vectors:
Ba1 0.000 0.000 0.000
Zr1 0.500 0.500 0.331
Zr2 0.500 0.500 0.669
P1 0.000 0.000 0.500

E_form, eV/f.u.: -0.659
Final energy, eV/cell: -25.09
Space group: No. 65
Total magnetic moment, μB/atom: 0.000

---

# 6
DFT (PBE) results for a relaxed structure of BaZr2P.

abc: 3.574 3.574 8.400
angles: 90.00 90.00 90.00
Sites, in units of the cell vectors:
Ba1 0.000 0.000 0.000
Zr1 0.000 0.000 0.411
Zr2 0.500 0.500 0.634
P1 0.500 0.500 0.298

E_form, eV/f.u.: -1.650
Final energy, eV/cell: -26.08
Space group: No. 99
Total magnetic moment, μB/atom: 0.000

---

# 7
DFT (PBE) results for a relaxed structure of Ba4ZrP.

abc: 7.049 7.049 7.049
angles: 60.00 60.00 60.00
Sites, in units of the cell vectors:
Ba1 0.124 0.124 0.124
Ba2 0.124 0.124 0.628
Ba3 0.124 0.628 0.124
Ba4 0.628 0.124 0.124
Zr1 0.500 0.500 0.500
P1 0.750 0.750 0.750

E_form, eV/f.u.: 4.864
Final energy, eV/cell: -16.79
Space group: No. 216
Total magnetic moment, μB/atom: 0.718

---

# 8
DFT (PBE) results for a relaxed structure of BaZrP3.

abc: 5.102 5.102 5.102
angles: 90.00 90.00 90.00
Sites, in units of the cell vectors:
Ba1 0.000 0.000 0.000
Zr1 0.500 0.500 0.500
P1 0.000 0.500 0.500
P2 0.500 0.000 0.500
P3 0.500 0.500 0.000

E_form, eV/f.u.: -2.884
Final energy, eV/cell: -29.58
Space group: No. 221
Total magnetic moment, μB/atom: 0.000

---

# 9
DFT (PBE) results for a relaxed structure of BaZr2P.

abc: 4.590 4.590 4.364
angles: 90.00 90.00 90.00
Sites, in units of the cell vectors:
Ba1 0.000 0.000 0.000
Zr1 0.000 0.500 0.500
Zr2 0.500 0.000 0.500
P1 0.500 0.500 0.000

E_form, eV/f.u.: 0.778
Final energy, eV/cell: -23.65
Space group: No. 123
Total magnetic moment, μB/atom: 0.000

---

# 10
DFT (PBE) results for a relaxed structure of BaZrP3.

abc: 5.311 5.311 5.311
angles: 90.00 90.00 90.00
Sites, in units of the cell vectors:
Ba1 0.000 0.000 0.000
Zr1 0.500 0.500 0.500
P1 0.000 0.000 0.500
P2 0.000 0.500 0.000
P3 0.500 0.000 0.000

E_form, eV/f.u.: 7.276
Final energy, eV/cell: -19.42
Space group: No. 221
Total magnetic moment, μB/atom: 0.000

---

# 11
DFT (PBE) results for a relaxed structure of BaZr2P.

abc: 3.467 3.467 8.300
angles: 90.00 90.00 90.00
Sites, in units of the cell vectors:
Ba1 0.000 0.000 0.000
Zr1 0.500 0.500 0.333
Zr2 0.500 0.500 0.667
P1 0.000 0.000 0.500

E_form, eV/f.u.: -0.741
Final energy, eV/cell: -25.17
Space group: No. 123
Total magnetic moment, μB/atom: 0.000

---

# 12
DFT (PBE) results for a relaxed structure of BaZr2P.

abc: 10.289 10.289 10.289
angles: 152.60 152.60 39.14
Sites, in units of the cell vectors:
Ba1 0.000 0.000 0.000
Ba2 0.750 0.250 0.500
Zr1 0.272 0.625 0.147
Zr2 0.375 0.522 0.647
Zr3 0.478 0.125 0.853
Zr4 0.875 0.728 0.353
P1 0.250 0.750 0.500
P2 0.500 0.500 0.000

E_form, eV/f.u.: 0.344
Final energy, eV/cell: -48.17
Space group: No. 122
Total magnetic moment, μB/atom: 0.000